# 1
Compound: Ta2ZnC
Source: the Alexandria database
Functional: PBE
Structure: optimized geometry

Values from the calculation:
Space-group type ... No. 122
ΔH_f (0 K) ... 691 meV/atom
E ... -7.860 eV per atom
Magnetic moment ... 0.000 μB per atom

The structure in POSCAR format:
```
Ta2ZnC
1.0
-4.015 1.223 -3.409
2.675 -2.431 -4.021
-2.927 -4.922 -2.606
Zn C Ta
2 2 4
Cartesian
0.000 0.000 0.000 Zn
-3.806 -2.152 -4.866 Zn
-0.670 -0.604 -3.715 C
-0.461 -3.979 -5.172 C
-2.546 -0.880 -2.979 Ta
0.078 -2.487 -3.897 Ta
-2.457 -4.363 -5.103 Ta
-3.608 -4.530 -8.095 Ta
```

# 2
Compound: TaZnC3
Source: the Alexandria database
Functional: PBE
Structure: optimized geometry

Values from the calculation:
Space-group type ... No. 221
ΔH_f (0 K) ... 1893 meV/atom
E ... -6.266 eV per atom
Magnetic moment ... 0.000 μB per atom

The structure in POSCAR format:
```
TaZnC3
1.0
4.203 0.000 0.000
0.000 4.203 0.000
0.000 0.000 4.203
Zn C Ta
1 3 1
Cartesian
2.101 2.101 2.101 Zn
0.000 2.101 0.000 C
0.000 0.000 2.101 C
2.101 0.000 0.000 C
0.000 0.000 0.000 Ta
```

# 3
Compound: TaZn3C
Source: the Alexandria database
Functional: PBE
Structure: optimized geometry

Values from the calculation:
Space-group type ... No. 221
ΔH_f (0 K) ... 2414 meV/atom
E ... -2.565 eV per atom
Magnetic moment ... 0.068 μB per atom

The structure in POSCAR format:
```
TaZn3C
1.0
-5.048 -0.066 -0.867
-0.309 -4.638 2.154
-0.813 2.175 4.567
Zn C Ta
3 1 1
Cartesian
-0.155 -2.319 1.077 Zn
-0.407 1.087 2.283 Zn
-2.524 -0.033 -0.434 Zn
-3.085 -1.265 2.926 C
0.000 0.000 0.000 Ta
```

# 4
Compound: Ta3ZnC
Source: the Alexandria database
Functional: PBE
Structure: optimized geometry

Values from the calculation:
Space-group type ... No. 221
ΔH_f (0 K) ... -41 meV/atom
E ... -9.252 eV per atom
Magnetic moment ... 0.000 μB per atom

The structure in POSCAR format:
```
Ta3ZnC
1.0
4.277 0.000 0.000
0.000 4.277 0.000
0.000 0.000 4.277
Zn C Ta
1 1 3
Cartesian
2.138 2.138 2.138 Zn
0.000 0.000 0.000 C
0.000 2.138 0.000 Ta
0.000 0.000 2.138 Ta
2.138 0.000 0.000 Ta
```

# 5
Compound: Ta3Zn3C
Source: the Alexandria database
Functional: PBE
Structure: optimized geometry

Values from the calculation:
Space-group type ... No. 227
ΔH_f (0 K) ... -318 meV/atom
E ... -7.262 eV per atom
Magnetic moment ... 0.000 μB per atom

The structure in POSCAR format:
```
Ta3Zn3C
1.0
7.202 0.000 4.158
2.401 6.790 4.158
0.000 0.000 8.316
Ta Zn C
12 12 4
Cartesian
1.536 2.920 2.661 Ta
1.728 1.222 8.316 Ta
7.874 5.568 8.316 Ta
6.337 1.222 10.977 Ta
6.337 1.222 5.655 Ta
3.265 5.568 10.977 Ta
3.265 0.475 2.661 Ta
0.672 0.475 4.158 Ta
4.129 2.920 4.158 Ta
1.536 2.920 5.655 Ta
3.265 5.568 5.655 Ta
3.265 0.475 5.655 Ta
7.995 5.653 13.848 Zn
4.008 2.834 9.690 Zn
4.801 5.078 8.316 Zn
6.388 2.834 8.316 Zn
7.202 3.409 12.474 Zn
5.615 5.653 12.474 Zn
7.995 5.653 11.099 Zn
4.008 2.834 6.941 Zn
6.001 4.244 10.395 Zn
6.001 4.244 6.237 Zn
4.801 0.849 8.316 Zn
2.401 4.244 8.316 Zn
1.200 0.849 2.079 C
1.200 0.849 6.237 C
2.401 4.244 4.158 C
4.801 0.849 4.158 C
```

# 6
Compound: TaZn3C
Source: the Alexandria database
Functional: PBE
Structure: optimized geometry

Values from the calculation:
Space-group type ... No. 221
ΔH_f (0 K) ... 1011 meV/atom
E ... -3.969 eV per atom
Magnetic moment ... 0.000 μB per atom

The structure in POSCAR format:
```
TaZn3C
1.0
4.152 0.000 0.000
0.000 4.152 0.000
0.000 0.000 4.152
Zn C Ta
3 1 1
Cartesian
0.000 2.076 0.000 Zn
0.000 0.000 2.076 Zn
2.076 0.000 0.000 Zn
0.000 0.000 0.000 C
2.076 2.076 2.076 Ta
```